# 1
# K2AgAs, relaxed, DFT PBE
# Volume in Å³/cell: 231.6
# Formation energy in meV per atom: -5
# Total magnetic moment in μB per atom: 0.00
# Uncorrected energy in eV/atom: -2.429
# Theoretical density in g/cm³: 3.74
# Crystal system: orthorhombic
data_K2AgAs
_chemical_formula_sum 'K4 Ag2 As2'
_symmetry_space_group_name_H-M 'C m m m'
_symmetry_Int_Tables_number 65
_symmetry_space_group_name_Hall '-C 2 2'
_cell_length_a 6.204
_cell_length_b 9.685
_cell_length_c 3.854
_cell_angle_alpha 90.00
_cell_angle_beta 90.00
_cell_angle_gamma 90.00
loop_
_atom_site_label
_atom_site_type_symbol
_atom_site_fract_x
_atom_site_fract_y
_atom_site_fract_z
K1 K 0.250 0.250 0.000
Ag1 Ag 0.000 0.000 0.500
As1 As 0.000 0.500 0.500

# 2
# KAgAs2, relaxed, DFT PBE
# Relative energy among the computed polymorphs in meV/atom: 386.7
# Volume in Å³/cell: 90.3
# Formation energy in meV per atom: 224
# Total magnetic moment in μB per atom: 0.00
# Uncorrected energy in eV/atom: -3.088
# Theoretical density in g/cm³: 5.46
# Crystal system: tetragonal
data_KAgAs2
_chemical_formula_sum 'K1 Ag1 As2'
_symmetry_space_group_name_H-M 'P 4/m m m'
_symmetry_Int_Tables_number 123
_symmetry_space_group_name_Hall '-P 4 2'
_cell_length_a 4.407
_cell_length_b 4.407
_cell_length_c 4.651
_cell_angle_alpha 90.00
_cell_angle_beta 90.00
_cell_angle_gamma 90.00
loop_
_atom_site_label
_atom_site_type_symbol
_atom_site_fract_x
_atom_site_fract_y
_atom_site_fract_z
K1 K 0.000 0.000 0.000
Ag1 Ag 0.500 0.500 0.000
As1 As 0.000 0.500 0.500

# 3
# KAgAs2, relaxed, DFT PBE
# Relative energy among the computed polymorphs in meV/atom: 279.3
# Volume in Å³/cell: 191.3
# Formation energy in meV per atom: 117
# Total magnetic moment in μB per atom: 0.00
# Uncorrected energy in eV/atom: -3.195
# Theoretical density in g/cm³: 5.15
# Crystal system: orthorhombic
data_KAgAs2
_chemical_formula_sum 'K2 Ag2 As4'
_symmetry_space_group_name_H-M 'I m m m'
_symmetry_Int_Tables_number 71
_symmetry_space_group_name_Hall '-I 2 2'
_cell_length_a 3.061
_cell_length_b 6.010
_cell_length_c 10.397
_cell_angle_alpha 90.00
_cell_angle_beta 90.00
_cell_angle_gamma 90.00
loop_
_atom_site_label
_atom_site_type_symbol
_atom_site_fract_x
_atom_site_fract_y
_atom_site_fract_z
K1 K 0.000 0.000 0.000
Ag1 Ag 0.000 0.000 0.500
As1 As 0.000 0.500 0.213